Entry 1:
Here is a geometry-optimized La2CdGa2 structure from the Alexandria database. Energies are from GGA-PBE.

Values from the calculation:
energy relative to the elements = -2.70 eV/f.u.
D(E_F) = 7.7 states/eV/cell
symmetry = No. 12

Cell and atoms, written as extended XYZ:
```
10
Lattice="5.694 -2.357 0.000 5.694 2.357 0.000 -5.290 0.000 9.829" Properties=species:S:1:pos:R:3 pbc="T T T"
La -1.642 0.000 3.201
La 1.545 0.000 0.905
La 4.552 0.000 8.924
La 7.738 0.000 6.628
Cd -0.278 0.000 6.339
Cd 6.375 0.000 3.489
Ga 1.904 0.000 4.269
Ga 4.880 0.000 1.118
Ga 1.217 0.000 8.710
Ga 4.193 0.000 5.560
```

Entry 2:
Here is a geometry-optimized RbTl2As2O6 structure from the Alexandria database. Energies are from GGA-PBE.

Values from the calculation:
total energy = -56.619 eV per cell
D(E_F) = 1.7 states/eV/cell
symmetry = No. 166

Cell and atoms, written as extended XYZ:
```
11
Lattice="3.173 1.832 7.431 -3.173 1.832 7.431 0.000 -3.664 7.431" Properties=species:S:1:pos:R:3 pbc="T T T"
Rb 0.000 0.000 0.000
Tl 0.000 0.000 4.112
Tl 0.000 0.000 18.183
As 0.000 0.000 9.831
As 0.000 0.000 12.463
O -1.451 -0.837 12.762
O 0.000 -1.675 9.533
O -1.451 0.837 9.533
O 1.451 -0.837 12.762
O 0.000 1.675 12.762
O 1.451 0.837 9.533
```

Question: What is the D(E_F) in the second record?
Answer: 1.7 states/eV/cell